Compound: SeI
Source: Alexandria via LeMat-Bulk
Functional: PBE
Structure: relaxed

Summary:
ΔE_f (raw) = 0.047 eV/atom
total DFT energy (no corrections) = -19.764 eV for the cell shown
SG = C2 (5)
calculated density = 3.7 g/cm³

a b c (Å): 9.5266 5.9578 7.1629
angles (deg): 90.00 113.60 90.00
Last column: nearest neighbours and their distance in Å.
Sites, in units of the cell vectors:
Se  0.0631  0.0000  0.1744  1 Se 2.30
Se  0.4369  0.5000  0.8256  1 Se 2.30
Se  0.5631  0.5000  0.1744  1 Se 2.30
Se  0.9369  0.0000  0.8256  1 Se 2.30
I  0.2301  0.8227  0.7469  1 Se 2.65
I  0.2699  0.3227  0.2531  1 Se 2.65
I  0.7301  0.3227  0.7469  1 Se 2.65
I  0.7699  0.8227  0.2531  1 Se 2.65


Compound: Mn2AlNiH
Source: Alexandria via LeMat-Bulk
Functional: PBE
Structure: relaxed

Summary:
total DFT energy (no corrections) = -32.272 eV for the cell shown
ΔE to the lowest computed polymorph = 0.0 meV per atom
SG = P4/mmm (123)
calculated density = 6.3 g/cm³

a b c (Å): 3.7341 3.7341 3.6975
angles (deg): 90.00 90.00 90.00
Last column: nearest neighbours and their distance in Å.
Sites, in units of the cell vectors:
Mn  0.0000  0.5000  0.0000  2 H 1.87
Mn  0.5000  0.0000  0.0000  2 H 1.87
Al  0.0000  0.0000  0.5000  8 Mn 2.63, 4 Ni 2.64
Ni  0.5000  0.5000  0.5000  2 H 1.85
H  0.5000  0.5000  0.0000  2 Ni 1.85, 4 Mn 1.87


Compound: Ce2ThSb2
Source: Alexandria via LeMat-Bulk
Functional: PBE
Structure: relaxed

Summary:
ΔE_f (raw) = -0.623 eV/atom
total DFT energy (no corrections) = -61.291 eV for the cell shown
ΔE to the lowest computed polymorph = 188.6 meV per atom
SG = I4/mmm (139)
calculated density = 8.9 g/cm³

a b c (Å): 4.2536 4.2536 15.6642
angles (deg): 90.00 90.00 90.00
Last column: nearest neighbours and their distance in Å.
Sites, in units of the cell vectors:
Ce  0.0000  0.5000  0.2500  4 Ce 3.01, 4 Sb 3.19
Ce  0.0000  0.5000  0.7500  4 Ce 3.01, 4 Sb 3.19
Ce  0.5000  0.0000  0.2500  4 Ce 3.01, 4 Sb 3.19
Ce  0.5000  0.0000  0.7500  4 Ce 3.01, 4 Sb 3.19
Th  0.0000  0.0000  0.0000  8 Sb 3.38
Th  0.5000  0.5000  0.5000  8 Sb 3.38
Sb  0.0000  0.0000  0.4019  1 Sb 3.07, 4 Ce 3.19, 4 Th 3.38
Sb  0.0000  0.0000  0.5981  1 Sb 3.07, 4 Ce 3.19, 4 Th 3.38
Sb  0.5000  0.5000  0.0981  1 Sb 3.07, 4 Ce 3.19, 4 Th 3.38
Sb  0.5000  0.5000  0.9019  1 Sb 3.07, 4 Ce 3.19, 4 Th 3.38


Compound: Ac4PrSe6
Source: Alexandria via LeMat-Bulk
Functional: PBE
Structure: relaxed

Summary:
ΔE_f (raw) = -1.823 eV/atom
total DFT energy (no corrections) = -124.351 eV for the cell shown
SG = R-3c (167)
calculated density = 7.6 g/cm³

a b c (Å): 8.7418 8.7418 8.7418
angles (deg): 90.42 90.42 90.42
Last column: nearest neighbours and their distance in Å.
Sites, in units of the cell vectors:
Ac  0.1326  0.7500  0.3674  8 Se 3.16-3.43
Ac  0.2500  0.2500  0.2500  6 Se 3.13
Ac  0.2500  0.6326  0.8674  8 Se 3.16-3.43
Ac  0.3674  0.1326  0.7500  8 Se 3.16-3.43
Ac  0.6326  0.8674  0.2500  8 Se 3.16-3.43
Ac  0.7500  0.3674  0.1326  8 Se 3.16-3.43
Ac  0.7500  0.7500  0.7500  6 Se 3.13
Ac  0.8674  0.2500  0.6326  8 Se 3.16-3.43
Pr  0.0000  0.0000  0.0000  6 Se 2.93
Pr  0.5000  0.5000  0.5000  6 Se 2.93
Se  0.0613  0.9143  0.6815  1 Pr 2.93, 2 Ac 3.13-3.16
Se  0.0857  0.3185  0.9387  1 Pr 2.93, 2 Ac 3.13-3.16
Se  0.1815  0.4143  0.5613  1 Pr 2.93, 2 Ac 3.13-3.16
Se  0.3185  0.9387  0.0857  1 Pr 2.93, 2 Ac 3.13-3.16
Se  0.4143  0.5613  0.1815  1 Pr 2.93, 2 Ac 3.13-3.16
Se  0.4387  0.8185  0.5857  1 Pr 2.93, 2 Ac 3.13-3.16
Se  0.5613  0.1815  0.4143  1 Pr 2.93, 2 Ac 3.13-3.16
Se  0.5857  0.4387  0.8185  1 Pr 2.93, 2 Ac 3.13-3.16
Se  0.6815  0.0613  0.9143  1 Pr 2.93, 2 Ac 3.13-3.16
Se  0.8185  0.5857  0.4387  1 Pr 2.93, 2 Ac 3.13-3.16
Se  0.9143  0.6815  0.0613  1 Pr 2.93, 2 Ac 3.13-3.16
Se  0.9387  0.0857  0.3185  1 Pr 2.93, 2 Ac 3.13-3.16


Compound: K2PtW
Source: Alexandria via LeMat-Bulk
Functional: PBE
Structure: relaxed

Summary:
total DFT energy (no corrections) = -52.910 eV for the cell shown
ΔE to the lowest computed polymorph = 363.8 meV per atom
SG = R3m (160)
calculated density = 7.4 g/cm³
DFT formation energy = 0.888 eV/atom

a b c (Å): 3.1578 3.1578 35.7396
angles (deg): 90.00 90.00 120.00
Last column: nearest neighbours and their distance in Å.
Sites, in units of the cell vectors:
K  0.0000  0.0000  0.0000  6 K 3.16, 3 Pt 3.36
K  0.0000  0.0000  0.2184  6 K 3.16
K  0.3333  0.6667  0.6667  6 K 3.16, 3 Pt 3.36
K  0.3333  0.6667  0.8851  6 K 3.16
K  0.6667  0.3333  0.3333  6 K 3.16, 3 Pt 3.36
K  0.6667  0.3333  0.5518  6 K 3.16
Pt  0.0000  0.0000  0.7457  3 W 2.62
Pt  0.3333  0.6667  0.4123  3 W 2.62
Pt  0.6667  0.3333  0.0790  3 W 2.62
W  0.0000  0.0000  0.4651  3 Pt 2.62
W  0.3333  0.6667  0.1318  3 Pt 2.62
W  0.6667  0.3333  0.7984  3 Pt 2.62


Compound: CeNd2TmSe5
Source: Alexandria via LeMat-Bulk
Functional: PBE
Structure: relaxed

Summary:
ΔE_f (raw) = -1.313 eV/atom
total DFT energy (no corrections) = -49.183 eV for the cell shown
SG = P4/mmm (123)
calculated density = 5.9 g/cm³

a b c (Å): 5.0428 5.0428 10.9253
angles (deg): 90.00 90.00 90.00
Last column: nearest neighbours and their distance in Å.
Sites, in units of the cell vectors:
Ce  0.0000  0.0000  0.0000  2 Se 2.74
Nd  0.5000  0.5000  0.2987  9 Se 3.26-3.60
Nd  0.5000  0.5000  0.7013  9 Se 3.26-3.60
Tm  0.0000  0.0000  0.5000  6 Se 2.52-2.72
Se  0.0000  0.0000  0.2512  1 Tm 2.72, 1 Ce 2.74
Se  0.0000  0.0000  0.7488  1 Tm 2.72, 1 Ce 2.74
Se  0.0000  0.5000  0.5000  2 Tm 2.52
Se  0.5000  0.0000  0.5000  2 Tm 2.52
Se  0.5000  0.5000  0.0000  2 Nd 3.26, 4 Ce 3.57


Number 1 is which compound? SeI


The lowest total DFT energy (no corrections) belongs to which entry? Ac4PrSe6


Which of these has the highest calculated density? Ce2ThSb2